First-principles (GGA+U) data for crystalline MoSeNO2 at its relaxed geometry, as listed in the Alexandria database.

```
data_MoSeNO2
_chemical_formula_sum 'Mo1 Se1 N1 O2'
_cell_length_a 3.851
_cell_length_b 3.851
_cell_length_c 4.307
_cell_angle_alpha 90.00
_cell_angle_beta 90.00
_cell_angle_gamma 90.00
_space_group_name_H-M_alt 'P 1'
_space_group_IT_number 1
loop_
_space_group_symop_operation_xyz
'x,y,z'
loop_
_atom_site_label
_atom_site_fract_x
_atom_site_fract_y
_atom_site_fract_z
_atom_site_occupancy
Mo1 0.000 0.000 0.000 1
Se1 0.500 0.500 0.500 1
N1 0.000 0.000 0.500 1
O1 0.000 0.500 0.000 1
O2 0.500 0.000 0.000 1
```

Summary:
total magnetic moment: 0.8 μB per cell
raw total energy: -5.7001 eV/atom
symmetry: P4/mmm (123)